# 1
AlOsSeN2 | PBEsol | optimized geometry

Values from the calculation:
The calculation puts the uncorrected formation energy at 1.325 eV per atom. As for the density of states at the Fermi level: 1.19 states/eV per atom. Its density is 8.19 g/cm3. As for the crystal system: tetragonal. For the total magnetization, the calculation gives 0.1 μB per cell. The calculation puts the electronic total energy at -30.59 eV per cell.

Lattice parameters (Å, degrees): 3.662 3.662 4.903 90.00 90.00 90.00
Space group P4/mmm (No. 123)
Symmetry-distinct sites (fractional):
Al1 0.000 0.000 0.000
Os1 0.500 0.500 0.500
Se1 0.000 0.000 0.500
N1 0.000 0.500 0.000

# 2
NaPH2Pd | PBEsol | optimized geometry

Values from the calculation:
As for the density of states at the Fermi level: 0.59 states/eV per atom. Its density is 3.86 g/cm3. As for the crystal system: tetragonal. For the total magnetization, the calculation gives 0.6 μB per cell. The calculation puts the electronic total energy at -16.51 eV per cell.

Lattice parameters (Å, degrees): 3.574 3.574 5.470 90.00 90.00 90.00
Space group P4/mmm (No. 123)
Symmetry-distinct sites (fractional):
Na1 0.000 0.000 0.000
P1 0.500 0.500 0.000
H1 0.000 0.500 0.500
Pd1 0.000 0.000 0.500

# 3
CaZnP2 | PBEsol | optimized geometry

Values from the calculation:
As for the density of states at the Fermi level: 0.51 states/eV per atom. Its density is 3.70 g/cm3. As for the formation energy from the elements: -0.12 eV per atom. As for the crystal system: orthorhombic. For the total magnetization, the calculation gives 0.0 μB per cell. The calculation puts the electronic total energy at -15.79 eV per cell.

Lattice parameters (Å, degrees): 2.909 4.591 5.629 90.00 90.00 90.00
Space group Pmm2 (No. 25)
Symmetry-distinct sites (fractional):
Ca1 0.000 0.000 0.000
Zn1 0.500 0.500 0.629
P1 0.000 0.000 0.506
P2 0.500 0.500 0.074

# 4
Li5Cu | PBEsol | optimized geometry

Values from the calculation:
As for the density of states at the Fermi level: 0.44 states/eV per atom. For the polymorph energy (0 for the lowest one), the calculation gives 0 meV/atom. Its density is 1.61 g/cm3. As for the formation energy from the elements: 0.03 eV per atom. As for the crystal system: tetragonal. For the total magnetization, the calculation gives 0.0 μB per cell. The calculation puts the electronic total energy at -13.99 eV per cell.

Lattice parameters (Å, degrees): 2.906 2.906 11.986 90.00 90.00 90.00
Space group P4/mmm (No. 123)
Symmetry-distinct sites (fractional):
Li1 0.000 0.000 0.000
Li2 0.000 0.000 0.374
Li3 0.500 0.500 0.190
Cu1 0.500 0.500 0.500

Which formula does entry 2 have?
NaPH2Pd

Which of these has the highest electronic total energy?
Li5Cu

Which value of electronic total energy does entry 3 give?
-15.79 eV per cell

Which formula does entry 4 have?
Li5Cu